# 1
Below is BC after structural relaxation, with properties calculated at the PBE level.

**V**: 7.085 Å³ per atom
**ΔE to the lowest computed polymorph**: 0.45 eV/f.u.
**Magnetic moment**: 0.00 μB per cell
**Fermi-level density of states**: 0.261 states/eV per atom

Lattice parameters (Å, degrees): 4.1379 2.5980 7.9153 90.00 92.36 90.00
With the nearest neighbours (Å) after each atom.
Space group Pm (No. 6)
Unique sites:
B (0.0000, 0.0000, 0.0000) [1 per cell]  3 C 1.54-1.62
B (0.0910, 0.0000, 0.2795) [1 per cell]  2 C 1.69-1.71, 2 B 1.87
B (0.3935, 0.0000, 0.7478) [1 per cell]  3 C 1.58-1.61
B (0.4868, 0.5000, 0.4283) [1 per cell]  2 C 1.57, 1 B 1.66
B (0.7671, 0.5000, 0.2835) [1 per cell]  1 C 1.64, 1 B 1.66
B (0.8813, 0.5000, 0.6553) [1 per cell]  3 C 1.57-1.61
C (0.0808, 0.0000, 0.6208) [1 per cell]  1 C 1.52, 3 B 1.57-1.61
C (0.2940, 0.0000, 0.4693) [1 per cell]  1 C 1.52, 3 B 1.57-1.69
C (0.3218, 0.0000, 0.1051) [1 per cell]  2 B 1.54-1.71, 2 C 1.56
C (0.5326, 0.5000, 0.1114) [1 per cell]  3 C 1.56-1.60, 1 B 1.64
C (0.5977, 0.5000, 0.7887) [1 per cell]  1 C 1.52, 3 B 1.58-1.61
C (0.7774, 0.5000, 0.9606) [1 per cell]  2 C 1.52-1.60, 2 B 1.62

=====

# 2
Below is BC after structural relaxation, with properties calculated at the PBE level.

**V**: 6.716 Å³ per atom
**ΔE to the lowest computed polymorph**: 0.38 eV/f.u.
**Magnetic moment**: 0.00 μB per cell
**Fermi-level density of states**: 0.216 states/eV per atom

Lattice parameters (Å, degrees): 2.4221 2.6131 21.2238 90.00 90.00 90.00
With the nearest neighbours (Å) after each atom.
Space group Imm2 (No. 44)
Unique sites:
B (0.0000, 0.0000, 0.0000) [2 per cell]  2 C 1.66, 2 B 1.82
B (0.0000, 0.0000, 0.2014) [2 per cell]  4 C 1.67-1.68
B (0.0000, 0.0000, 0.7978) [2 per cell]  2 C 1.58
B (0.0000, 0.5000, 0.3632) [2 per cell]  2 C 1.66, 2 B 1.84
B (0.0000, 0.5000, 0.5639) [2 per cell]  2 C 1.66, 2 B 1.82
C (0.0000, 0.0000, 0.4115) [2 per cell]  2 C 1.48
C (0.0000, 0.0000, 0.6120) [2 per cell]  2 C 1.48
C (0.0000, 0.5000, 0.1520) [2 per cell]  2 C 1.48
C (0.0000, 0.5000, 0.7556) [2 per cell]  4 B 1.58-1.67
C (0.0000, 0.5000, 0.9514) [2 per cell]  2 C 1.48

=====

What is the Fermi-level density of states in the first record?
0.261 states/eV per atom